LaCo3Pt4O12: optimized geometry, GGA+U.

For the size of the total moment, the calculation gives 17.67 μB per cell. The electronic total energy comes out at -6.154 eV per atom.

a b c (Å): 7.642 7.642 7.642
angles (deg): 90.00 90.00 90.00
Space group Im-3 (No. 204)
Unique sites:
La 0.000 0.000 0.000 [2 per cell]
Co 0.000 0.000 0.500 [6 per cell]
Pt 0.250 0.250 0.250 [8 per cell]
O 0.000 0.171 0.307 [24 per cell]